# 1
VASP calculation (GGA-PBE) on a relaxed structure of CuTcSbIr.

a b c (Å): 4.459 4.459 4.459
angles (deg): 60.00 60.00 60.00
Sites, in units of the cell vectors:
Cu 0.750 0.750 0.750
Ir 0.500 0.500 0.500
Sb 0.000 0.000 0.000
Tc 0.250 0.250 0.250

Output
Size of the total moment in μB/f.u.: 0.01
DFT total energy in eV per atom: -6.48

# 2
VASP calculation (GGA-PBE) on a relaxed structure of NdInHg.

a b c (Å): 5.000 5.000 5.000
angles (deg): 60.00 60.00 60.00
Sites, in units of the cell vectors:
Hg 0.250 0.250 0.250
In 0.000 0.000 0.000
Nd 0.750 0.750 0.750

Output
Size of the total moment in μB/f.u.: 0.00
DFT total energy in eV per atom: -2.89

# 3
VASP calculation (GGA-PBE) on a relaxed structure of La2TbSn3Pb4.

a b c (Å): 13.256 13.256 4.790
angles (deg): 90.00 90.00 159.79
Sites, in units of the cell vectors:
La 0.816 0.184 0.000
La 0.184 0.816 0.000
Pb 0.907 0.093 0.500
Pb 0.707 0.293 0.500
Pb 0.293 0.707 0.500
Pb 0.093 0.907 0.500
Sn 0.591 0.409 0.000
Sn 0.409 0.591 0.000
Sn 0.500 0.500 0.500
Tb 0.000 0.000 0.000

Output
Size of the total moment in μB/f.u.: 0.00
DFT total energy in eV per atom: -4.63

# 4
VASP calculation (GGA-PBE) on a relaxed structure of Er2Ni.

a b c (Å): 5.910 5.910 5.910
angles (deg): 60.00 60.00 60.00
Sites, in units of the cell vectors:
Er 0.625 0.625 0.125
Er 0.625 0.125 0.625
Er 0.125 0.625 0.625
Er 0.625 0.625 0.625
Ni 0.000 0.000 0.000
Ni 0.250 0.250 0.250

Output
Size of the total moment in μB/f.u.: 0.05
Formation energy in eV per atom: 0.859

# 5
VASP calculation (GGA-PBE) on a relaxed structure of Li4MgSbAu2.

a b c (Å): 4.477 4.477 6.771
angles (deg): 90.00 90.00 90.00
Sites, in units of the cell vectors:
Au 0.500 0.000 0.231
Au 0.000 0.500 0.769
Li 0.500 0.500 0.000
Li 0.000 0.500 0.248
Li 0.000 0.000 0.500
Li 0.500 0.000 0.752
Mg 0.000 0.000 0.000
Sb 0.500 0.500 0.500

Output
DFT total energy in eV per atom: -3.00

# 6
VASP calculation (GGA-PBE) on a relaxed structure of LiTl2AuSe4.

a b c (Å): 7.534 7.534 7.534
angles (deg): 131.79 131.79 70.57
Sites, in units of the cell vectors:
Au 0.000 0.000 0.000
Li 0.250 0.750 0.500
Se 0.126 0.643 0.021
Se 0.357 0.378 0.483
Se 0.895 0.874 0.517
Se 0.622 0.105 0.979
Tl 0.500 0.500 0.000
Tl 0.750 0.250 0.500

Output
DFT total energy in eV per atom: -3.34